<one>
Compound: CdPt15
Source: the Open Quantum Materials Database
Functional: GGA-PBE
Structure: relaxed

Unit cell a=5.5783 b=2.8063 c=45.4013 alpha=90.00 beta=90.00 gamma=90.00
Element x y z (fractional)
1 Cd 0.1251 0.2500 0.3360
2 Cd 0.8749 0.7500 0.6640
3 Pt 0.1224 0.2500 0.7134
4 Pt 0.1236 0.2500 0.8017
5 Pt 0.1250 0.2500 0.0663
6 Pt 0.1250 0.2500 0.1545
7 Pt 0.1250 0.2500 0.2428
8 Pt 0.1247 0.2500 0.8896
9 Pt 0.1250 0.2500 0.9779
10 Pt 0.3725 0.7500 0.2866
11 Pt 0.3735 0.7500 0.1983
12 Pt 0.3750 0.7500 0.0221
13 Pt 0.3747 0.7500 0.1104
14 Pt 0.3750 0.7500 0.6708
15 Pt 0.3750 0.7500 0.7584
16 Pt 0.3750 0.7500 0.8457
17 Pt 0.3750 0.7500 0.9338
18 Pt 0.6250 0.2500 0.0662
19 Pt 0.6250 0.2500 0.1543
20 Pt 0.6250 0.2500 0.2416
21 Pt 0.6250 0.2500 0.3292
22 Pt 0.6253 0.2500 0.8896
23 Pt 0.6250 0.2500 0.9779
24 Pt 0.6265 0.2500 0.8017
25 Pt 0.6275 0.2500 0.7134
26 Pt 0.8750 0.7500 0.0221
27 Pt 0.8753 0.7500 0.1104
28 Pt 0.8750 0.7500 0.7572
29 Pt 0.8750 0.7500 0.8455
30 Pt 0.8750 0.7500 0.9337
31 Pt 0.8764 0.7500 0.1983
32 Pt 0.8776 0.7500 0.2866

Magnetization ... 0.07 μB per formula unit
Symmetry ... P2_1/m (11)

<two>
Compound: CdPt15
Source: the Open Quantum Materials Database
Functional: GGA-PBE
Structure: relaxed

Unit cell a=4.8218 b=36.8557 c=4.8228 alpha=90.00 beta=109.50 gamma=90.00
Element x y z (fractional)
1 Cd 0.0000 0.2032 0.2500
2 Cd 0.0000 0.7968 0.7500
3 Pt 0.0000 0.2470 0.7500
4 Pt 0.0000 0.2868 0.2500
5 Pt 0.0000 0.3260 0.7500
6 Pt 0.0000 0.3651 0.2500
7 Pt 0.0000 0.4035 0.7500
8 Pt 0.0000 0.4422 0.2500
9 Pt 0.0000 0.4808 0.7500
10 Pt 0.0000 0.5192 0.2500
11 Pt 0.0000 0.5578 0.7500
12 Pt 0.0000 0.5965 0.2500
13 Pt 0.0000 0.6349 0.7500
14 Pt 0.0000 0.6740 0.2500
15 Pt 0.0000 0.7132 0.7500
16 Pt 0.0000 0.7530 0.2500
17 Pt 0.5000 0.2139 0.7500
18 Pt 0.5000 0.2470 0.2500
19 Pt 0.5000 0.2882 0.7500
20 Pt 0.5000 0.3260 0.2500
21 Pt 0.5000 0.3646 0.7500
22 Pt 0.5000 0.4035 0.2500
23 Pt 0.5000 0.4418 0.7500
24 Pt 0.5000 0.4808 0.2500
25 Pt 0.5000 0.5192 0.7500
26 Pt 0.5000 0.5582 0.2500
27 Pt 0.5000 0.5965 0.7500
28 Pt 0.5000 0.6354 0.2500
29 Pt 0.5000 0.6740 0.7500
30 Pt 0.5000 0.7118 0.2500
31 Pt 0.5000 0.7530 0.7500
32 Pt 0.5000 0.7861 0.2500

Magnetization ... 0.03 μB per formula unit
Symmetry ... P2/c (13)

Stability ranking, top and bottom: <one> is the most stable and <two> is the least stable.

<one>
Compound: CdPt7
Source: the Open Quantum Materials Database
Functional: GGA-PBE
Structure: relaxed

Unit cell a=5.6616 b=5.6616 c=5.6616 alpha=60.00 beta=60.00 gamma=60.00
Element x y z (fractional)
1 Cd 0.0000 0.0000 0.0000
2 Pt 0.0000 0.0000 0.5000
3 Pt 0.0000 0.5000 0.0000
4 Pt 0.0000 0.5000 0.5000
5 Pt 0.5000 0.0000 0.0000
6 Pt 0.5000 0.0000 0.5000
7 Pt 0.5000 0.5000 0.0000
8 Pt 0.5000 0.5000 0.5000

Magnetization ... 0.00 μB per formula unit
Symmetry ... Fm-3m (225)

<two>
Compound: CdPt7
Source: the Open Quantum Materials Database
Functional: GGA-PBE
Structure: relaxed

Unit cell a=2.8247 b=3.9309 c=36.0959 alpha=90.00 beta=90.00 gamma=90.00
Element x y z (fractional)
1 Cd 0.2500 0.2500 0.2038
2 Cd 0.7500 0.7500 0.7962
3 Pt 0.2500 0.2500 0.2852
4 Pt 0.2500 0.2500 0.3639
5 Pt 0.2500 0.2500 0.4418
6 Pt 0.2500 0.2500 0.5193
7 Pt 0.2500 0.2500 0.5972
8 Pt 0.2500 0.2500 0.6757
9 Pt 0.2500 0.2500 0.7557
10 Pt 0.7500 0.7500 0.2443
11 Pt 0.7500 0.7500 0.3243
12 Pt 0.7500 0.7500 0.4028
13 Pt 0.7500 0.7500 0.4807
14 Pt 0.7500 0.7500 0.5582
15 Pt 0.7500 0.7500 0.6361
16 Pt 0.7500 0.7500 0.7148

Magnetization ... 0.02 μB per formula unit
Symmetry ... Pmmn (59)

Stability ranking, top and bottom: <one> is the most stable and <two> is the least stable.